VASP calculation (PBE) on crystalline LiSmCuSn2 at its relaxed geometry.

Computed properties:
V = 108.90 Å³/f.u.
Density of states at the Fermi level = 2.95 states/eV/cell
Final energy = -42.0 eV/cell

abc: 4.338 4.338 11.575
angles: 90.00 90.00 90.00
Space group I-4m2 (No. 119)
Asymmetric unit:
Li (0.000, 0.000, 0.000) (multiplicity 2)
Sm (0.000, 0.500, 0.750) (multiplicity 2)
Cu (0.000, 0.000, 0.500) (multiplicity 2)
Sn (0.000, 0.500, 0.128) (multiplicity 4)